The following is a GGA-PBE calculation of crystalline DyHo3ErTh at its relaxed geometry, from Alexandria via LeMat-Bulk.

Lattice parameters (Å, degrees): 11.2420 11.2420 6.6919 98.88 98.88 27.81
Last column: nearest neighbours and their distance in Å.
Atoms (fractional coordinates):
Dy: 0.1684 0.1684 0.0204  1 Er 3.15, 6 Ho 3.21-3.47
Dy: 0.8316 0.8316 0.9796  1 Er 3.15, 6 Ho 3.21-3.47
Ho: 0.0264 0.0264 0.7715  1 Dy 3.28, 2 Er 3.35-3.54, 2 Ho 3.43-3.63, 2 Th 3.44
Ho: 0.2762 0.2762 0.6922  3 Er 3.29-3.60, 1 Th 3.39, 3 Dy 3.42-3.47, 1 Ho 3.48
Ho: 0.3361 0.3361 0.2407  2 Dy 3.21, 2 Er 3.38, 1 Ho 3.48
Ho: 0.6639 0.6639 0.7593  2 Dy 3.21, 2 Er 3.38, 1 Ho 3.48
Ho: 0.7238 0.7238 0.3078  3 Er 3.29-3.60, 1 Th 3.39, 3 Dy 3.42-3.47, 1 Ho 3.48
Ho: 0.9736 0.9736 0.2285  1 Dy 3.28, 2 Er 3.35-3.54, 2 Ho 3.43-3.63, 2 Th 3.44
Er: 0.1317 0.1317 0.4575  1 Dy 3.15, 4 Ho 3.29-3.38, 2 Th 3.47
Er: 0.8683 0.8683 0.5425  1 Dy 3.15, 4 Ho 3.29-3.38, 2 Th 3.47
Th: 0.4327 0.4327 0.8261  4 Ho 3.39-3.74, 1 Th 3.45, 2 Er 3.47, 2 Dy 3.73
Th: 0.5673 0.5673 0.1739  4 Ho 3.39-3.74, 1 Th 3.45, 2 Er 3.47, 2 Dy 3.73

Computed properties:
Calculated formation energy: 115 kJ/mol of formula units

---

The following is a GGA-PBE calculation of crystalline Ta2Fe2Sb at its relaxed geometry, from Alexandria via LeMat-Bulk.

Lattice parameters (Å, degrees): 5.7864 5.7864 5.7864 137.92 137.92 61.02
Last column: nearest neighbours and their distance in Å.
Atoms (fractional coordinates):
Ta: 0.2500 0.7500 0.5000  4 Fe 2.49
Ta: 0.7500 0.2500 0.5000  4 Fe 2.49
Fe: 0.1127 0.1127 0.0000  1 Fe 2.25, 4 Ta 2.49
Fe: 0.8873 0.8873 0.0000  1 Fe 2.25, 4 Ta 2.49
Sb: 0.5000 0.5000 0.0000  8 Fe 3.15, 8 Ta 3.24

Computed properties:
Formation energy without anion corrections: 0.18 eV per atom
Relative energy among the computed polymorphs: 70 kJ/mol of formula units

---

Calculated E_tot, -4.85, -8.77 eV per atom (same order as the records).